The following is a PBE calculation of crystalline Ac4Pu6O19 at its relaxed geometry, from the Alexandria database.

Cell and atoms, written as POSCAR:
```
Ac4Pu6O19
1.0
-5.0105 5.0105 5.0105
5.0105 -5.0105 5.0105
5.0105 5.0105 -5.0105
Ac Pu O
4 6 19
direct
0.0000 0.0000 0.7029
0.0000 0.7029 0.0000
0.2971 0.2971 0.2971
0.7029 0.0000 0.0000
0.1698 0.6698 0.5000
0.3302 0.5000 0.8302
0.5000 0.1698 0.6698
0.5000 0.8302 0.3302
0.6698 0.5000 0.1698
0.8302 0.3302 0.5000
0.0000 0.0000 0.0000
0.0000 0.3576 0.3576
0.0000 0.6424 0.6424
0.0313 0.2846 0.6814
0.2533 0.9687 0.6501
0.2846 0.6814 0.0313
0.3186 0.6032 0.3499
0.3499 0.3186 0.6032
0.3576 0.0000 0.3576
0.3576 0.3576 0.0000
0.3968 0.7154 0.7467
0.6032 0.3499 0.3186
0.6424 0.0000 0.6424
0.6424 0.6424 0.0000
0.6501 0.2533 0.9687
0.6814 0.0313 0.2846
0.7154 0.7467 0.3968
0.7467 0.3968 0.7154
0.9687 0.6501 0.2533
```

Formation energy from raw total energies   -3.056 eV per atom
Space group   I23 (197)
N(E_F)   27.30 states/eV/f.u.